InReSn2 | the Alexandria database | GGA-PBE | optimized geometry; ΔE_f = 0.744 eV per atom
1.0
3.011 0.000 0.000
1.505 2.607 0.000
1.505 0.869 12.003
Re Sn In
1 2 1
direct
0.000 0.000 0.000
0.078 0.078 0.767
0.922 0.922 0.233
0.500 0.500 0.500



InReSn2 | the Alexandria database | GGA-PBE | optimized geometry; ΔE_f = 0.760 eV per atom
1.0
4.166 0.000 0.000
0.000 4.166 0.000
2.083 2.083 10.319
Re Sn In
2 4 2
direct
0.000 0.000 0.000
0.750 0.250 0.500
0.628 0.125 0.250
0.122 0.625 0.250
0.375 0.372 0.750
0.875 0.878 0.750
0.500 0.500 0.000
0.250 0.750 0.500



In2ReSn | the Alexandria database | GGA-PBE | optimized geometry; ΔE_f = 0.760 eV per atom
1.0
-1.739 -0.951 -3.628
-0.440 -3.920 1.238
-10.547 -0.132 2.735
Re Sn In
2 2 4
direct
0.000 0.000 0.000
0.750 0.250 0.500
0.500 0.500 0.000
0.250 0.750 0.500
0.639 0.125 0.250
0.111 0.625 0.250
0.375 0.361 0.750
0.875 0.889 0.750



In2ReSnTe | the Alexandria database | GGA-PBE | optimized geometry; uncorrected formation energy = 1.292 eV per atom
1.0
5.819 0.000 0.000
0.000 4.947 0.000
0.000 0.000 5.819
Re Te Sn In
1 1 1 2
direct
0.000 0.500 0.000
0.000 0.000 0.000
0.500 0.500 0.500
0.000 0.000 0.500
0.500 0.000 0.000



TiInRe2Sn | the Alexandria database | GGA-PBE | optimized geometry; ΔE_f = 1.494 eV per atom
1.0
-3.297 2.253 2.450
2.302 -1.302 4.295
2.551 3.926 -0.177
Re Ti Sn In
2 1 1 1
direct
0.000 0.000 0.500
0.500 0.000 0.000
0.000 0.000 0.000
0.000 0.500 0.000
0.500 0.500 0.500



Zn2InReSn | the Alexandria database | GGA-PBE | optimized geometry; ΔE_f = 1.307 eV per atom
1.0
4.866 0.000 0.000
0.000 5.311 0.000
0.000 0.000 4.866
Re Zn Sn In
1 2 1 1
direct
0.000 0.500 0.000
0.000 0.000 0.500
0.500 0.000 0.000
0.500 0.500 0.500
0.000 0.000 0.000



Sr2InRe | the Alexandria database | GGA-PBE | optimized geometry; ΔE_f = 0.734 eV per atom
1.0
-1.077 4.423 -1.632
-4.691 -1.181 -0.104
-0.480 1.519 4.432
In Re Sr
1 1 2
direct
0.500 0.000 0.500
0.000 0.500 0.500
0.000 0.000 0.000
0.500 0.500 0.000



SrIn2Re | the Alexandria database | GGA-PBE | optimized geometry; ΔE_f = 0.657 eV per atom
1.0
-3.248 -2.302 -2.294
2.248 -3.933 0.764
-2.298 -0.570 3.825
In Re Sr
2 1 1
direct
0.000 0.000 0.000
0.500 0.500 0.000
0.500 0.000 0.500
0.000 0.500 0.500



SrInRe | the Alexandria database | GGA-PBE | optimized geometry; ΔE_f = 0.765 eV per atom; offset from the most stable computed form = 35.0 kJ/mol of formula units
1.0
5.174 0.000 0.000
-2.587 4.481 0.000
0.000 0.000 2.937
In Re Sr
1 1 1
direct
0.000 0.000 0.168
0.333 0.667 0.166
0.667 0.333 0.667



SrInRe2 | the Alexandria database | GGA-PBE | optimized geometry; ΔE_f = 1.180 eV per atom
1.0
5.610 0.022 0.000
2.573 4.986 0.000
-4.092 -2.504 2.910
In Re Sr
1 2 1
direct
0.750 0.250 0.500
0.000 0.000 0.000
0.500 0.500 0.000
0.250 0.750 0.500



SrIn2Re | the Alexandria database | GGA-PBE | optimized geometry; ΔE_f = 0.355 eV per atom
1.0
7.864 0.003 0.023
7.242 3.066 0.023
1.335 0.271 4.399
In Re Sr
2 1 1
direct
0.999 0.999 0.001
0.830 0.830 0.670
0.489 0.489 0.511
0.182 0.182 0.318



SrInRe2 | the Alexandria database | GGA-PBE | optimized geometry; ΔE_f = 0.312 eV per atom
1.0
-3.345 2.592 -0.870
-3.296 -1.453 -2.385
-5.098 -1.599 4.109
In Re Sr
1 2 1
direct
0.716 0.716 0.853
0.978 0.978 0.067
0.297 0.297 0.109
0.510 0.510 0.471



SrIn2Re | the Alexandria database | GGA-PBE | optimized geometry; ΔE_f = 0.320 eV per atom
1.0
-2.575 -0.248 -2.296
-0.023 -3.435 0.396
-5.260 0.706 5.824
In Re Sr
2 1 1
direct
0.000 0.000 0.057
0.000 0.000 0.443
0.500 0.500 0.250
0.500 0.500 0.750



SrIn2Re | the Alexandria database | GGA-PBE | optimized geometry; ΔE_f = 0.484 eV per atom
1.0
5.289 -0.032 0.000
1.161 5.160 0.000
-3.225 -2.564 3.316
In Re Sr
2 1 1
direct
0.000 0.000 0.000
0.500 0.500 0.000
0.250 0.750 0.500
0.750 0.250 0.500



SrInRe | the Alexandria database | GGA-PBE | optimized geometry; ΔE_f = 0.645 eV per atom; offset from the most stable computed form = 0.0 kJ/mol of formula units
1.0
6.180 0.035 -0.158
3.994 4.716 0.158
-5.002 -2.559 2.580
In Re Sr
1 1 1
direct
0.954 0.954 0.000
0.374 0.374 0.000
0.673 0.673 0.000



SrInRe2 | the Alexandria database | GGA-PBE | optimized geometry; ΔE_f = 0.898 eV per atom
1.0
-1.227 -2.486 2.335
3.406 -1.033 0.689
0.366 4.602 5.091
In Re Sr
1 2 1
direct
0.500 0.500 0.750
0.000 0.000 0.922
0.000 0.000 0.578
0.500 0.500 0.250



Sr2InRe | the Alexandria database | GGA-PBE | optimized geometry; ΔE_f = 0.543 eV per atom
1.0
-2.823 -2.391 -5.144
2.606 -5.235 -2.437
-2.558 2.422 5.266
In Re Sr
1 1 2
direct
0.453 0.453 0.000
0.286 0.786 0.500
0.028 0.028 0.000
0.733 0.233 0.500



Sr2InRe | the Alexandria database | GGA-PBE | optimized geometry; ΔE_f = 1.151 eV per atom
1.0
-1.262 -1.098 4.291
2.664 -3.752 -0.177
9.148 3.384 6.027
Re Sr In
2 4 2
direct
0.000 0.000 0.000
0.750 0.250 0.500
0.641 0.125 0.250
0.109 0.625 0.250
0.375 0.359 0.750
0.875 0.891 0.750
0.500 0.500 0.000
0.250 0.750 0.500



SrIn2Re | the Alexandria database | GGA-PBE | optimized geometry; ΔE_f = 0.665 eV per atom
1.0
-0.189 -3.939 -4.155
4.590 -0.477 3.393
-1.526 -1.833 1.807
In Re Sr
2 1 1
direct
0.000 0.000 0.000
0.500 0.500 0.000
0.500 0.000 0.500
0.000 0.500 0.500



Sr2InRe | the Alexandria database | GGA-PBE | optimized geometry; ΔE_f = 0.641 eV per atom
1.0
3.505 0.000 0.000
0.000 3.104 -0.006
0.000 3.124 9.936
In Re Sr
1 1 2
direct
0.500 0.250 0.250
0.500 0.750 0.750
0.000 0.027 0.973
0.000 0.473 0.527



Number 1: electronic total energy -5.054 eV/atom, density 9.489 g/cm3, V 94.2 Å³/f.u.. Number 2: electronic total energy -5.038 eV/atom, density 9.985 g/cm3, V 89.5 Å³/f.u.. Number 3: electronic total energy -4.722 eV/atom, density 9.894 g/cm3, V 89.7 Å³/f.u.. Number 4: electronic total energy -3.722 eV/atom, density 6.565 g/cm3, V 167.5 Å³/f.u.. Number 5: electronic total energy -6.412 eV/atom, density 9.805 g/cm3, V 110.7 Å³/f.u.. Number 6: electronic total energy -3.041 eV/atom, density 7.268 g/cm3, V 125.8 Å³/f.u.. Number 7: electronic total energy -3.904 eV/atom, density 7.177 g/cm3, V 110.2 Å³/f.u.. Number 8: electronic total energy -4.245 eV/atom, density 8.805 g/cm3, V 95.0 Å³/f.u.. Number 9: electronic total energy -4.857 eV/atom, density 9.478 g/cm3, V 68.1 Å³/f.u.. Number 10: electronic total energy -6.149 eV/atom, density 11.753 g/cm3, V 81.2 Å³/f.u.. Number 11: electronic total energy -4.546 eV/atom, density 7.898 g/cm3, V 105.9 Å³/f.u.. Number 12: electronic total energy -7.018 eV/atom, density 9.432 g/cm3, V 101.2 Å³/f.u.. Number 13: electronic total energy -4.581 eV/atom, density 8.873 g/cm3, V 94.2 Å³/f.u.. Number 14: electronic total energy -4.417 eV/atom, density 9.227 g/cm3, V 90.6 Å³/f.u.. Number 15: electronic total energy -4.978 eV/atom, density 8.584 g/cm3, V 75.2 Å³/f.u.. Number 16: electronic total energy -6.431 eV/atom, density 10.570 g/cm3, V 90.3 Å³/f.u.. Number 17: electronic total energy -4.095 eV/atom, density 6.849 g/cm3, V 115.5 Å³/f.u.. Number 18: electronic total energy -3.486 eV/atom, density 6.785 g/cm3, V 116.6 Å³/f.u.. Number 19: electronic total energy -4.237 eV/atom, density 9.287 g/cm3, V 90.0 Å³/f.u.. Number 20: electronic total energy -3.996 eV/atom, density 7.312 g/cm3, V 108.2 Å³/f.u..